The following is a GGA-PBE calculation of an optimized crystal structure of Rb2MgI4, from Alexandria.

Cell: 8.412 8.321 10.295 Å, 90.00 108.25 90.00°
Space group P2_1/m (No. 11)
Unique sites:
Rb 0.222 0.250 0.054 x2
Rb 0.269 0.250 0.568 x2
Mg 0.227 0.750 0.801 x2
I 0.004 0.003 0.740 x4
I 0.405 0.750 0.073 x2
I 0.418 0.750 0.629 x2

Computed properties:
Its calculated density is 3.410 g cm⁻³. The value obtained for the volume is 684.4 Å³/cell. The calculation puts the formation energy (no corrections) at -1311 meV per atom. The calculation puts the energy above the most stable polymorph in this dataset at 0.0000 eV per atom. As for the total DFT energy (no corrections): -37.82 eV per cell.

=====

The following is a GGA-PBE calculation of an optimized crystal structure of Tl2OsBr, from Alexandria.

Cell: 7.185 7.185 7.185 Å, 90.00 90.00 90.00°
Space group F-43m (No. 216)
Unique sites:
Tl 0.000 0.000 0.000 x4
Tl 0.250 0.250 0.250 x4
Os 0.000 0.000 0.500 x4
Br 0.250 0.250 0.750 x4

Computed properties:
Its calculated density is 12.156 g cm⁻³. The value obtained for the volume is 371.0 Å³/cell. The calculation puts the formation energy (no corrections) at 1102 meV per atom. The calculation puts the energy above the most stable polymorph in this dataset at 0.5186 eV per atom. As for the total DFT energy (no corrections): -52.91 eV per cell.

=====

The following is a GGA-PBE calculation of an optimized crystal structure of K2TlRu, from Alexandria.

Cell: 3.3432 3.3432 35.5371 Å, 90.00 90.00 120.00°
Space group R-3m (No. 166, hexagonal axes)
Unique sites:
K 0.0000 0.0000 0.2422 x6
Tl 0.0000 0.0000 0.0000 x3
Ru 0.0000 0.0000 0.5000 x3

Computed properties:
Its calculated density is 5.556 g cm⁻³. The value obtained for the volume is 344.0 Å³/cell. For the calculated formation energy, the calculation gives 0.893 eV/atom. The calculation puts the energy above the most stable polymorph in this dataset at 0.4372 eV per atom. As for the total DFT energy (no corrections): -30.80 eV per cell.